[1]
TmHgTe | GGA-PBE | relaxed

Lattice parameters (Å, degrees): 10.179 10.179 10.179 27.19 27.19 27.19
Positions (direct):
Tm 0.064 0.064 0.064
Tm 0.936 0.936 0.936
Hg 0.339 0.339 0.339
Hg 0.661 0.661 0.661
Te 0.225 0.225 0.225
Te 0.775 0.775 0.775

Values from the calculation:
Energy above the most stable polymorph in this dataset = 0 meV/atom
Density of states at the Fermi level = 0.77 states/eV/cell
ΔE_f (raw) = -736 meV per atom
Space-group type = R-3m (166)
Total magnetic moment = 0.00 μB/atom

=====

[2]
UHgTe | GGA-PBE | relaxed

Lattice parameters (Å, degrees): 6.179 6.179 6.179 144.08 144.08 51.71
Positions (direct):
U 0.000 0.000 0.000
Hg 0.672 0.672 0.000
Te 0.348 0.348 0.000

Values from the calculation:
Energy above the most stable polymorph in this dataset = 0 meV/atom
Density of states at the Fermi level = 8.07 states/eV/cell
ΔE_f (raw) = -97 meV per atom
Space-group type = I4mm (107)
Total magnetic moment = 1.22 μB/atom

=====

[3]
UHgTe3 | GGA-PBE | relaxed

Lattice parameters (Å, degrees): 9.852 9.852 8.135 108.96 108.96 27.04
Positions (direct):
U 0.220 0.220 0.228
U 0.780 0.780 0.772
Hg 0.492 0.492 0.328
Hg 0.508 0.508 0.672
Te 0.049 0.049 0.176
Te 0.181 0.181 0.571
Te 0.340 0.340 0.039
Te 0.660 0.660 0.961
Te 0.819 0.819 0.429
Te 0.951 0.951 0.824

Values from the calculation:
Density of states at the Fermi level = 14.81 states/eV/cell
ΔE_f (raw) = -394 meV per atom
Space-group type = C2/m (12)
Total magnetic moment = 0.40 μB/atom

=====

[4]
UHgTe | GGA-PBE | relaxed

Lattice parameters (Å, degrees): 9.298 9.298 5.112 90.00 90.00 90.00
Positions (direct):
U 0.000 0.129 0.000
U 0.000 0.871 0.000
U 0.129 0.000 0.500
U 0.871 0.000 0.500
Hg 0.300 0.500 0.000
Hg 0.500 0.300 0.500
Hg 0.500 0.700 0.500
Hg 0.700 0.500 0.000
Te 0.000 0.315 0.500
Te 0.000 0.685 0.500
Te 0.315 0.000 0.000
Te 0.685 0.000 0.000

Values from the calculation:
Energy above the most stable polymorph in this dataset = 37 meV/atom
Density of states at the Fermi level = 9.24 states/eV/cell
ΔE_f (raw) = -61 meV per atom
Space-group type = P4_2/mmc (131)
Total magnetic moment = 0.00 μB/atom

=====

[5]
Y3UHg3Te8 | GGA-PBE | relaxed

Lattice parameters (Å, degrees): 8.675 8.675 9.659 116.62 116.62 60.00
Positions (direct):
Y 0.000 0.000 0.000
Y 0.000 0.500 0.000
Y 0.500 0.000 0.000
U 0.500 0.500 0.000
Hg 0.000 0.500 0.500
Hg 0.500 0.000 0.500
Hg 0.500 0.500 0.500
Te 0.239 0.239 0.216
Te 0.249 0.732 0.213
Te 0.268 0.268 0.787
Te 0.268 0.751 0.787
Te 0.732 0.249 0.213
Te 0.732 0.732 0.213
Te 0.751 0.268 0.787
Te 0.761 0.761 0.784

Values from the calculation:
Density of states at the Fermi level = 10.43 states/eV/cell
ΔE_f (raw) = -774 meV per atom
Space-group type = C2/m (12)
Total magnetic moment = 0.06 μB/atom

=====

[6]
ZrU3Hg3Te8 | GGA-PBE | relaxed

Lattice parameters (Å, degrees): 10.630 10.630 10.630 46.51 46.51 46.51
Positions (direct):
Zr 0.000 0.000 0.000
U 0.000 0.500 0.500
U 0.500 0.000 0.500
U 0.500 0.500 0.000
Hg 0.000 0.000 0.500
Hg 0.000 0.500 0.000
Hg 0.500 0.000 0.000
Te 0.224 0.224 0.741
Te 0.224 0.741 0.224
Te 0.259 0.776 0.776
Te 0.269 0.269 0.269
Te 0.731 0.731 0.731
Te 0.741 0.224 0.224
Te 0.776 0.259 0.776
Te 0.776 0.776 0.259

Values from the calculation:
Density of states at the Fermi level = 20.24 states/eV/cell
ΔE_f (raw) = -508 meV per atom
Space-group type = R-3m (166)
Total magnetic moment = 0.40 μB/atom

=====

What is the density of states at the Fermi level in the sixth record?
20.24 states/eV/cell

=====

The lowest ΔE_f (raw) belongs to which entry?
Y3UHg3Te8

=====

Among the records above, which one has the highest total magnetic moment?
number 2